1.
Material: Y2ZrAg
Method: DFT, PBE
State: optimized geometry

Cell: 5.6244 5.6244 5.6244 Å, 130.03 130.03 73.36°
With the nearest neighbours (Å) after each atom.
Sites, in units of the cell vectors:
Y1 0.0000 0.0000 0.0000  4 Zr 3.28, 4 Ag 3.28, 4 Y 3.36
Y2 0.5000 0.5000 0.0000  4 Zr 3.28, 4 Ag 3.28, 4 Y 3.36
Zr1 0.2500 0.7500 0.5000  8 Y 3.28, 4 Ag 3.36
Ag1 0.7500 0.2500 0.5000  8 Y 3.28, 4 Zr 3.36

Computed properties:
offset from the most stable computed form: 222 meV/atom
formation enthalpy at 0 K: 0.107 eV per atom
space group: No. 139

---

2.
Material: SmCdAgBi
Method: DFT, PBE
State: optimized geometry

Cell: 5.2823 5.2823 5.2823 Å, 60.00 60.00 60.00°
With the nearest neighbours (Å) after each atom.
Sites, in units of the cell vectors:
Ag1 0.5000 0.5000 0.5000  4 Cd 3.23, 4 Sm 3.23
Bi1 0.0000 0.0000 0.0000  4 Sm 3.23, 4 Cd 3.23
Sm1 0.2500 0.2500 0.2500  4 Ag 3.23, 4 Bi 3.23
Cd1 0.7500 0.7500 0.7500  4 Bi 3.23, 4 Ag 3.23

Computed properties:
formation enthalpy at 0 K: -0.219 eV per atom
space group: No. 216

---

3.
Material: ZrCd4Br
Method: DFT, PBE
State: optimized geometry

Cell: 5.9037 5.9037 5.9037 Å, 60.00 60.00 60.00°
With the nearest neighbours (Å) after each atom.
Sites, in units of the cell vectors:
Cd1 0.3761 0.8716 0.3761  6 Cd 2.92-2.98
Cd2 0.8716 0.3761 0.3761  6 Cd 2.92-2.98
Cd3 0.3761 0.3761 0.3761  6 Cd 2.92-2.98
Cd4 0.3761 0.3761 0.8716  6 Cd 2.92-2.98
Br1 0.0000 0.0000 0.0000  12 Cd 3.46, 4 Zr 3.62
Zr1 0.7500 0.7500 0.7500  12 Cd 3.46, 4 Br 3.62

Computed properties:
uncorrected formation energy: 0.192 eV/atom
space group: No. 216

---

| no. | density of states at the Fermi level (states/eV/f.u.) |
| --- | --- |
| 1 | 5.7 |
| 2 | 1.6 |
| 3 | 4.6 |